The following is a PBE calculation of Pr12Dy3Al after structural relaxation, from Alexandria.

Output
M_tot   0.0 μB per cell
E_form   -0.018 eV per atom
Crystal system   tetragonal
VASP energy   -4.699 eV per atom

Geometry as CIF:
```
data_Pr12Dy3Al
_chemical_formula_sum 'Pr12 Dy3 Al1'
_symmetry_space_group_name_H-M 'P 4/m m m'
_symmetry_Int_Tables_number 123
_symmetry_space_group_name_Hall '-P 4 2'
_cell_length_a 5.1077
_cell_length_b 5.1077
_cell_length_c 20.7068
_cell_angle_alpha 90.00
_cell_angle_beta 90.00
_cell_angle_gamma 90.00
loop_
_atom_site_label
_atom_site_type_symbol
_atom_site_fract_x
_atom_site_fract_y
_atom_site_fract_z
Pr1 Pr 0.0000 0.0000 0.0000
Pr2 Pr 0.0000 0.0000 0.2453
Pr3 Pr 0.0000 0.0000 0.5000
Pr4 Pr 0.0000 0.5000 0.1174
Pr5 Pr 0.0000 0.5000 0.3726
Dy1 Dy 0.5000 0.5000 0.2463
Dy2 Dy 0.5000 0.5000 0.5000
Al1 Al 0.5000 0.5000 0.0000
```

The following is a PBE calculation of Pr3DyAl4 after structural relaxation, from Alexandria.

Output
M_tot   0.0 μB per cell
E_form   -0.353 eV per atom
Crystal system   tetragonal
VASP energy   -4.592 eV per atom

Geometry as CIF:
```
data_Pr3DyAl4
_chemical_formula_sum 'Pr3 Dy1 Al4'
_symmetry_space_group_name_H-M 'P 4/m m m'
_symmetry_Int_Tables_number 123
_symmetry_space_group_name_Hall '-P 4 2'
_cell_length_a 3.7178
_cell_length_b 3.7178
_cell_length_c 14.9025
_cell_angle_alpha 90.00
_cell_angle_beta 90.00
_cell_angle_gamma 90.00
loop_
_atom_site_label
_atom_site_type_symbol
_atom_site_fract_x
_atom_site_fract_y
_atom_site_fract_z
Pr1 Pr 0.0000 0.0000 0.0000
Pr2 Pr 0.0000 0.0000 0.2562
Dy1 Dy 0.0000 0.0000 0.5000
Al1 Al 0.5000 0.5000 0.1278
Al2 Al 0.5000 0.5000 0.3872
```

The following is a PBE calculation of PrDy2Al after structural relaxation, from Alexandria.

Output
M_tot   5.0 μB per cell
E_form   0.011 eV per atom
Distance to the lowest polymorph of the same formula   203 meV/atom
Crystal system   cubic
VASP energy   -4.421 eV per atom

Geometry as CIF:
```
data_PrDy2Al
_chemical_formula_sum 'Pr4 Dy8 Al4'
_symmetry_space_group_name_H-M 'F m -3 m'
_symmetry_Int_Tables_number 225
_symmetry_space_group_name_Hall '-F 4 2 3'
_cell_length_a 7.6557
_cell_length_b 7.6557
_cell_length_c 7.6557
_cell_angle_alpha 90.00
_cell_angle_beta 90.00
_cell_angle_gamma 90.00
loop_
_atom_site_label
_atom_site_type_symbol
_atom_site_fract_x
_atom_site_fract_y
_atom_site_fract_z
Pr1 Pr 0.0000 0.0000 0.0000
Dy1 Dy 0.2500 0.2500 0.2500
Al1 Al 0.0000 0.0000 0.5000
```

The following is a PBE calculation of PrDy3Al4 after structural relaxation, from Alexandria.

Output
M_tot   0.0 μB per cell
E_form   -0.377 eV per atom
Crystal system   tetragonal
VASP energy   -4.572 eV per atom

Geometry as CIF:
```
data_PrDy3Al4
_chemical_formula_sum 'Pr1 Dy3 Al4'
_symmetry_space_group_name_H-M 'P 4/m m m'
_symmetry_Int_Tables_number 123
_symmetry_space_group_name_Hall '-P 4 2'
_cell_length_a 5.1406
_cell_length_b 5.1406
_cell_length_c 7.3074
_cell_angle_alpha 90.00
_cell_angle_beta 90.00
_cell_angle_gamma 90.00
loop_
_atom_site_label
_atom_site_type_symbol
_atom_site_fract_x
_atom_site_fract_y
_atom_site_fract_z
Pr1 Pr 0.0000 0.0000 0.0000
Dy1 Dy 0.0000 0.0000 0.5000
Dy2 Dy 0.5000 0.5000 0.0000
Dy3 Dy 0.5000 0.5000 0.5000
Al1 Al 0.0000 0.5000 0.2591
```